A plane-wave DFT calculation with PBE with a Hubbard U was carried out for an optimized crystal structure of Na5LiFe2P2C2O14.

Geometry as POSCAR:
```
Na5LiFe2P2C2O14
1.0
-1.6822 1.2824 4.7797
0.1789 -6.3926 1.7842
8.4219 0.8834 2.9180
Na Li Fe P C O
5 1 2 2 2 14
Direct
0.7617 0.2345 0.0828 Na
0.2516 0.5036 0.2588 Na
0.7486 0.5018 0.7371 Na
0.7485 0.9945 0.7358 Na
0.2365 0.7611 0.9188 Na
0.2217 0.0312 0.2911 Li
0.2195 0.2484 0.6468 Fe
0.7834 0.7550 0.3479 Fe
0.7095 0.2479 0.4122 P
0.3000 0.7543 0.5800 P
0.7211 0.7504 0.0573 C
0.2727 0.2392 0.9477 C
0.2836 0.2309 0.0922 O
0.9468 0.7467 0.1166 O
0.5196 0.7620 0.1447 O
0.8206 0.0698 0.3193 O
0.7722 0.4416 0.3181 O
0.1742 0.7685 0.4251 O
0.4120 0.2259 0.4301 O
0.5967 0.7523 0.5597 O
0.8316 0.2529 0.5677 O
0.2157 0.5611 0.6702 O
0.2202 0.9353 0.6802 O
0.4811 0.2446 0.8650 O
0.0524 0.2423 0.8811 O
0.6984 0.7441 0.9136 O
```

Values from the calculation:
* DOS(E_F): 0.000 states/eV per atom
* offset from the most stable computed form: 0.1 kJ/mol of atoms